1.
Entry from Alexandria: a relaxed TbDy2Sb crystal (PBE).

Structure (POSCAR):
```
TbDy2Sb
1.0
-0.5571 2.8226 -2.8177
2.7358 -1.7997 -2.3437
-5.1111 -3.9425 -2.9388
Sb Tb Dy
1 1 2
Direct
0.5000 0.5000 0.0000 Sb
0.5000 0.5000 0.5000 Tb
0.0000 0.0000 0.7750 Dy
0.0000 0.0000 0.2250 Dy
```

Values from the calculation:
Energy relative to the elements, uncorrected: -0.4700 eV/atom
Energy relative to the lowest polymorph listed for this composition: 83.0 meV per atom
Magnetization: 0.0 μB per formula unit

***

2.
Entry from Alexandria: a relaxed Zr3Sn4Au3 crystal (PBE).

Structure (POSCAR):
```
Zr3Sn4Au3
1.0
7.8523 0.0000 -2.7762
-3.9261 6.8003 -2.7762
0.0000 0.0000 8.3286
Zr Sn Au
6 8 6
Direct
0.6250 0.7500 0.8750 Zr
0.8750 0.2500 0.6250 Zr
0.1250 0.3750 0.2500 Zr
0.3750 0.1250 0.7500 Zr
0.2500 0.8750 0.1250 Zr
0.7500 0.6250 0.3750 Zr
0.0000 0.0000 0.3040 Sn
0.5000 0.3040 0.5000 Sn
0.6960 0.1960 0.1960 Sn
0.0000 0.0000 0.8040 Sn
0.8040 0.5000 0.0000 Sn
0.5000 0.8040 0.5000 Sn
0.3040 0.5000 0.0000 Sn
0.1960 0.6960 0.6960 Sn
0.1250 0.7500 0.3750 Au
0.3750 0.2500 0.1250 Au
0.6250 0.8750 0.2500 Au
0.8750 0.6250 0.7500 Au
0.2500 0.3750 0.6250 Au
0.7500 0.1250 0.8750 Au
```

Values from the calculation:
Formation energy from the elements: -377.4 meV/atom
Magnetization: 0.0 μB per formula unit

***

3.
Entry from Alexandria: a relaxed PmTm3Ir4 crystal (PBE).

Structure (POSCAR):
```
PmTm3Ir4
1.0
-2.9831 -2.1500 -3.2551
4.1377 -5.1477 -0.3919
-4.8103 -4.4247 7.3309
Tm Ir Pm
6 8 2
Direct
0.0000 0.0000 0.0000 Tm
0.0000 0.0000 0.5000 Tm
0.4999 0.0000 0.7500 Tm
0.5001 0.0000 0.2500 Tm
0.4999 0.5000 0.7500 Tm
0.5001 0.5000 0.2500 Tm
0.5000 0.7563 0.0000 Ir
0.5000 0.7563 0.5000 Ir
0.5000 0.2437 0.0000 Ir
0.5000 0.2437 0.5000 Ir
0.9999 0.7563 0.7500 Ir
0.0001 0.7563 0.2500 Ir
0.0001 0.2437 0.2500 Ir
0.9999 0.2437 0.7500 Ir
0.0000 0.5000 0.0000 Pm
0.0000 0.5000 0.5000 Pm
```

Values from the calculation:
Formation energy from the elements: -817.1 meV/atom
Magnetization: 0.0 μB per formula unit

***

4.
Entry from Alexandria: a relaxed RbBaAuSe2 crystal (PBE).

Structure (POSCAR):
```
RbBaAuSe2
1.0
5.4784 0.0000 0.0000
0.0000 9.1264 0.0000
0.0000 -4.5632 8.3018
Rb Ba Au Se
2 2 2 4
Direct
0.2238 0.7500 0.5000 Rb
0.7762 0.2500 0.5000 Rb
0.5000 0.7500 0.0000 Ba
0.5000 0.2500 0.0000 Ba
0.0000 0.0000 0.0000 Au
0.0000 0.5000 0.0000 Au
0.7332 0.8809 0.7618 Se
0.7332 0.6191 0.2382 Se
0.2668 0.3809 0.7618 Se
0.2668 0.1191 0.2382 Se
```

Values from the calculation:
Energy relative to the elements, uncorrected: -1.1794 eV/atom
Magnetization: 0.0 μB per formula unit

***

5.
Entry from Alexandria: a relaxed Pr3Ag5I12 crystal (PBE).

Structure (POSCAR):
```
Pr3Ag5I12
1.0
15.6983 0.0000 0.0000
-5.2328 14.8005 0.0000
-5.2328 -7.4003 12.8176
Pr Ag I
12 20 48
Direct
0.7500 0.3750 0.1250 Pr
0.8750 0.7500 0.1250 Pr
0.3750 0.7500 0.6250 Pr
0.2500 0.1250 0.3750 Pr
0.8750 0.1250 0.2500 Pr
0.3750 0.6250 0.2500 Pr
0.6250 0.3750 0.7500 Pr
0.1250 0.8750 0.7500 Pr
0.7500 0.8750 0.6250 Pr
0.6250 0.2500 0.3750 Pr
0.1250 0.2500 0.8750 Pr
0.2500 0.6250 0.8750 Pr
0.1250 0.3750 0.2500 Ag
0.0000 0.5000 0.0000 Ag
0.0000 0.0000 0.0000 Ag
0.3750 0.2500 0.1250 Ag
0.5000 0.0000 0.5000 Ag
0.5000 0.5000 0.0000 Ag
0.1250 0.7500 0.3750 Ag
0.7500 0.1250 0.8750 Ag
0.7500 0.6250 0.3750 Ag
0.3750 0.1250 0.7500 Ag
0.6250 0.8750 0.2500 Ag
0.5000 0.5000 0.5000 Ag
0.5000 0.0000 0.0000 Ag
0.0000 0.0000 0.5000 Ag
0.2500 0.3750 0.6250 Ag
0.2500 0.8750 0.1250 Ag
0.0000 0.5000 0.5000 Ag
0.8750 0.2500 0.6250 Ag
0.6250 0.7500 0.8750 Ag
0.8750 0.6250 0.7500 Ag
0.7188 0.1281 0.0419 I
0.3231 0.5419 0.4139 I
0.9581 0.3719 0.2812 I
0.5419 0.2188 0.1281 I
0.5907 0.7188 0.6769 I
0.9581 0.5861 0.1769 I
0.3231 0.7812 0.4093 I
0.0861 0.9093 0.1281 I
0.5861 0.9581 0.6769 I
0.7188 0.5907 0.1769 I
0.7812 0.4581 0.3719 I
0.8231 0.9139 0.0419 I
0.1281 0.7188 0.5419 I
0.3719 0.4139 0.0907 I
0.0907 0.9139 0.3719 I
0.4093 0.1281 0.5861 I
0.0907 0.1769 0.2188 I
0.4581 0.6769 0.0861 I
0.8231 0.9093 0.2812 I
0.1281 0.4093 0.0861 I
0.3719 0.9581 0.7812 I
0.5861 0.6281 0.4093 I
0.9139 0.8231 0.5419 I
0.7812 0.3231 0.9093 I
0.4139 0.3719 0.5907 I
0.0861 0.1769 0.4581 I
0.2188 0.6769 0.0907 I
0.1769 0.0907 0.7188 I
0.6281 0.0419 0.2188 I
0.8719 0.5907 0.9139 I
0.5419 0.3231 0.9139 I
0.5907 0.8719 0.4139 I
0.9093 0.8231 0.7812 I
0.9093 0.0861 0.6281 I
0.8719 0.2812 0.4581 I
0.1769 0.0861 0.9581 I
0.6281 0.5861 0.9093 I
0.4139 0.0419 0.3231 I
0.2812 0.4093 0.8231 I
0.2188 0.5419 0.6281 I
0.9139 0.0907 0.8719 I
0.6769 0.2188 0.5907 I
0.4581 0.7812 0.8719 I
0.0419 0.4139 0.8231 I
0.4093 0.2812 0.3231 I
0.0419 0.6281 0.7188 I
0.6769 0.4581 0.5861 I
0.2812 0.8719 0.9581 I
```

Values from the calculation:
Energy relative to the elements, uncorrected: -0.6773 eV/atom
Magnetization: 1.8 μB per formula unit

***

6.
Entry from Alexandria: a relaxed YMnIr2 crystal (PBE).

Structure (POSCAR):
```
YMnIr2
1.0
-5.0580 1.0881 0.0632
-3.0621 -4.1392 -0.5115
4.0261 1.2054 3.0181
Ir Mn Y
2 1 1
Direct
0.0000 0.0000 0.0000 Ir
0.2500 0.7500 0.5000 Ir
0.5000 0.5000 0.0000 Mn
0.7500 0.2500 0.5000 Y
```

Values from the calculation:
Formation energy from the elements: -172.7 meV/atom
Magnetization: 3.6 μB per formula unit